Record 1
9
Lattice="-3.121 3.121 4.487 3.121 -3.121 4.487 3.121 3.121 -4.487" Properties=species:S:1:pos:R:3 comment="Ce2Ga4Ge2Ir (PBE, optimized geometry)" sg="No. 139" delta_e_f_ev_per_atom=-0.5985 pbc="T T T"
Ce 3.121 0.000 2.243
Ce 0.000 3.121 2.243
Ga 1.345 1.345 0.000
Ga 1.776 -1.776 4.487
Ga -1.776 1.776 4.487
Ga 1.776 1.776 4.487
Ge 0.000 0.000 1.976
Ge 0.000 0.000 6.997
Ir 0.000 0.000 4.487


Record 2
20
Lattice="5.740 0.000 0.000 0.000 8.404 0.000 0.000 0.000 9.035" Properties=species:S:1:pos:R:3 comment="Ce2GaGe6Ir (PBE, optimized geometry)" sg="No. 59" delta_e_f_ev_per_atom=-0.2790 pbc="T T T"
Ce 1.435 0.064 1.845
Ce 1.435 4.138 1.845
Ce 4.305 4.266 7.190
Ce 4.305 8.340 7.190
Ga 1.435 6.303 7.659
Ga 4.305 2.101 1.375
Ge 0.070 2.101 4.248
Ge 0.219 2.101 8.623
Ge 1.435 4.503 5.861
Ge 1.435 8.102 5.861
Ge 2.651 2.101 8.623
Ge 2.800 2.101 4.248
Ge 2.940 6.303 4.787
Ge 3.089 6.303 0.412
Ge 4.305 0.301 3.174
Ge 4.305 3.900 3.174
Ge 5.521 6.303 0.412
Ge 5.670 6.303 4.787
Ir 1.435 2.101 6.354
Ir 4.305 6.303 2.681


Record 3
9
Lattice="-3.195 3.195 4.326 3.195 -3.195 4.326 3.195 3.195 -4.326" Properties=species:S:1:pos:R:3 comment="Ce2Ga2Ge4Ir (PBE, optimized geometry)" sg="No. 139" delta_e_f_ev_per_atom=-0.5428 pbc="T T T"
Ce 3.195 0.000 2.163
Ce 0.000 3.195 2.163
Ga 0.000 0.000 1.826
Ga 0.000 0.000 6.825
Ge 1.421 1.421 0.000
Ge 1.774 -1.774 4.326
Ge -1.774 1.774 4.326
Ge 1.774 1.774 4.326
Ir 0.000 0.000 4.326


Record 4
10
Lattice="4.304 0.000 0.000 0.000 4.304 0.000 0.000 0.000 10.067" Properties=species:S:1:pos:R:3 comment="Ce2Ga3GeIr4 (PBE, optimized geometry)" sg="No. 115" delta_e_f_ev_per_atom=-0.7026 pbc="T T T"
Ce 0.000 2.152 2.451
Ce 2.152 0.000 7.616
Ga 0.000 2.152 8.777
Ga 2.152 0.000 1.291
Ga 2.152 2.152 5.034
Ge 0.000 0.000 5.034
Ir 0.000 0.000 0.000
Ir 0.000 2.152 6.324
Ir 2.152 0.000 3.743
Ir 2.152 2.152 0.000


Record 5
4
Lattice="0.000 3.707 3.707 3.707 0.000 3.707 3.707 3.707 0.000" Properties=species:S:1:pos:R:3 comment="LaCeGaGe (PBE, optimized geometry)" polymorph_energy_ev_per_fu=0.00 sg="No. 216" delta_e_f_ev_per_atom=-0.5446 pbc="T T T"
La 0.000 0.000 0.000
Ce 3.707 3.707 3.707
Ga 1.853 1.853 1.853
Ge 5.560 5.560 5.560


Record 6
8
Lattice="4.358 0.000 0.000 0.000 4.358 0.000 0.000 0.000 11.283" Properties=species:S:1:pos:R:3 comment="LaCeGaGe (PBE, optimized geometry)" polymorph_energy_ev_per_fu=0.47 sg="No. 129" delta_e_f_ev_per_atom=-0.4265 pbc="T T T"
La 1.090 1.090 1.859
La 3.269 3.269 9.424
Ce 1.090 3.269 5.642
Ce 3.269 1.090 5.642
Ga 1.090 1.090 7.824
Ga 3.269 3.269 3.459
Ge 1.090 1.090 10.231
Ge 3.269 3.269 1.052


Record 7
6
Lattice="-2.198 2.198 8.725 2.198 -2.198 8.725 2.198 2.198 -8.725" Properties=species:S:1:pos:R:3 comment="LaCe2GaGe2 (PBE, optimized geometry)" sg="No. 139" delta_e_f_ev_per_atom=-0.1698 pbc="T T T"
La 0.000 0.000 0.000
Ce 2.198 0.000 4.363
Ce 0.000 2.198 4.363
Ga 0.000 0.000 8.725
Ge 0.000 0.000 6.408
Ge 0.000 0.000 11.043


Record 8
9
Lattice="-3.617 3.617 4.347 3.617 -3.617 4.347 3.617 3.617 -4.347" Properties=species:S:1:pos:R:3 comment="La2Ce2GaGe4 (PBE, optimized geometry)" sg="No. 139" delta_e_f_ev_per_atom=-0.3750 pbc="T T T"
La 3.617 0.000 2.174
La 0.000 3.617 2.174
Ce 0.000 0.000 1.517
Ce 0.000 0.000 7.178
Ga 0.000 0.000 4.347
Ge 1.839 1.839 0.000
Ge 1.778 -1.778 4.347
Ge -1.778 1.778 4.347
Ge 1.778 1.778 4.347


Record 9
12
Lattice="4.207 0.000 0.000 0.000 7.937 0.000 0.000 0.000 7.240" Properties=species:S:1:pos:R:3 comment="Li2CeGaGe2 (PBE, optimized geometry)" sg="No. 26" delta_e_f_ev_per_atom=-0.4591 pbc="T T T"
Li 0.000 0.552 0.000
Li 0.000 7.384 3.620
Li 2.104 1.288 2.359
Li 2.104 6.648 5.979
Ce 2.104 3.442 6.908
Ce 2.104 4.495 3.288
Ga 0.000 2.430 4.420
Ga 0.000 5.507 0.800
Ge 0.000 2.853 1.741
Ge 0.000 5.083 5.361
Ge 2.104 1.122 5.032
Ge 2.104 6.815 1.412


Record 10
4
Lattice="4.166 0.000 0.000 0.000 4.460 0.000 0.000 0.000 4.631" Properties=species:S:1:pos:R:3 comment="CeMgGaGe (PBE, optimized geometry)" polymorph_energy_ev_per_fu=0.00 sg="No. 47" delta_e_f_ev_per_atom=-0.4606 pbc="T T T"
Ce 0.000 0.000 0.000
Mg 0.000 2.230 2.316
Ga 2.083 0.000 2.316
Ge 2.083 2.230 0.000


Record 11
4
Lattice="0.000 3.494 3.494 3.494 0.000 3.494 3.494 3.494 0.000" Properties=species:S:1:pos:R:3 comment="CeMgGaGe (PBE, optimized geometry)" polymorph_energy_ev_per_fu=0.12 sg="No. 216" delta_e_f_ev_per_atom=-0.4307 pbc="T T T"
Ce 0.000 0.000 0.000
Mg 3.494 3.494 3.494
Ga 1.747 1.747 1.747
Ge 5.240 5.240 5.240


Record 12
12
Lattice="4.142 0.000 0.000 0.000 8.866 0.000 0.000 0.000 6.951" Properties=species:S:1:pos:R:3 comment="CeMg2GaGe2 (PBE, optimized geometry)" sg="No. 26" delta_e_f_ev_per_atom=-0.3610 pbc="T T T"
Ce 0.000 0.640 0.000
Ce 0.000 8.225 3.475
Mg 0.000 2.878 2.860
Mg 0.000 5.987 6.335
Mg 2.071 3.773 0.624
Mg 2.071 5.093 4.099
Ga 2.071 1.791 4.823
Ga 2.071 7.075 1.348
Ge 0.000 3.371 5.568
Ge 0.000 5.495 2.093
Ge 2.071 1.287 2.129
Ge 2.071 7.579 5.604


Record 13
10
Lattice="2.818 -4.623 0.000 2.818 4.623 0.000 0.000 0.000 8.052" Properties=species:S:1:pos:R:3 comment="CeMnGaGe2 (PBE, optimized geometry)" sg="No. 67" delta_e_f_ev_per_atom=-0.1581 pbc="T T T"
Ce 2.818 2.311 6.425
Ce 2.818 -2.311 1.626
Mn 1.409 0.000 0.000
Mn 4.227 0.000 0.000
Ga 0.000 0.000 4.026
Ga 2.818 0.000 4.026
Ge 2.818 3.599 1.620
Ge 2.818 1.023 1.620
Ge 2.818 -1.023 6.431
Ge 2.818 -3.599 6.431


Record 14
6
Lattice="4.493 0.000 0.000 0.000 4.493 0.000 0.000 0.000 5.696" Properties=species:S:1:pos:R:3 comment="CeMn2GaGe2 (PBE, optimized geometry)" sg="No. 123" delta_e_f_ev_per_atom=-0.0627 pbc="T T T"
Ce 0.000 0.000 0.000
Mn 0.000 2.246 2.848
Mn 2.246 0.000 2.848
Ga 0.000 0.000 2.848
Ge 2.246 2.246 1.332
Ge 2.246 2.246 4.363


Record 15
6
Lattice="4.381 0.000 0.000 0.000 4.381 0.000 0.000 0.000 5.676" Properties=species:S:1:pos:R:3 comment="CeMn2Ga2Ge (PBE, optimized geometry)" sg="No. 123" delta_e_f_ev_per_atom=-0.0640 pbc="T T T"
Ce 0.000 0.000 0.000
Mn 0.000 2.190 2.838
Mn 2.190 0.000 2.838
Ga 2.190 2.190 1.372
Ga 2.190 2.190 4.304
Ge 0.000 0.000 2.838


Record 16
14
Lattice="3.360 -7.664 0.000 3.360 7.664 0.000 0.000 0.000 6.708" Properties=species:S:1:pos:R:3 comment="Ce4GaGeN (PBE, optimized geometry)" sg="No. 63" e_form_raw_ev_per_atom=-0.727 pbc="T T T"
Ce 1.680 3.832 0.000
Ce 1.680 3.832 3.354
Ce 3.360 6.406 5.031
Ce 3.360 1.261 5.031
Ce 1.680 -3.832 0.000
Ce 1.680 -3.832 3.354
Ce 3.360 -1.261 1.677
Ce 3.360 -6.406 1.677
Ga 3.360 5.890 1.677
Ga 3.360 -5.890 5.031
Ge 3.360 1.760 1.677
Ge 3.360 -1.760 5.031
N 3.360 3.847 5.031
N 3.360 -3.847 1.677


Record 17
12
Lattice="4.335 0.000 0.000 0.000 8.729 0.000 0.000 0.000 7.497" Properties=species:S:1:pos:R:3 comment="Na2CeGaGe2 (PBE, optimized geometry)" sg="No. 26" delta_e_f_ev_per_atom=-0.3598 pbc="T T T"
Na 0.000 0.727 0.000
Na 0.000 8.002 3.749
Na 2.167 1.355 2.414
Na 2.167 7.374 6.162
Ce 2.167 3.939 7.263
Ce 2.167 4.789 3.514
Ga 0.000 2.814 4.695
Ga 0.000 5.915 0.946
Ge 0.000 3.361 1.865
Ge 0.000 5.368 5.613
Ge 2.167 1.564 5.366
Ge 2.167 7.165 1.617


Record 18
4
Lattice="0.000 3.562 3.562 3.562 0.000 3.562 3.562 3.562 0.000" Properties=species:S:1:pos:R:3 comment="NaCeGaGe (PBE, optimized geometry)" sg="No. 216" delta_e_f_ev_per_atom=-0.2976 pbc="T T T"
Na 0.000 0.000 0.000
Ce 3.562 3.562 3.562
Ga 1.781 1.781 1.781
Ge 5.343 5.343 5.343


Record 19
6
Lattice="-2.941 2.941 5.249 2.941 -2.941 5.249 2.941 2.941 -5.249" Properties=species:S:1:pos:R:3 comment="Ce2NdGaGe2 (PBE, optimized geometry)" sg="No. 139" delta_e_f_ev_per_atom=-0.1834 pbc="T T T"
Ce 2.941 0.000 2.624
Ce 0.000 2.941 2.624
Nd 0.000 0.000 0.000
Ga 0.000 0.000 5.249
Ge 0.000 0.000 2.804
Ge 0.000 0.000 7.693


Record 20
10
Lattice="4.167 0.000 0.000 0.000 4.167 0.000 0.000 0.000 9.904" Properties=species:S:1:pos:R:3 comment="Ce2GaNi3Ge4 (PBE, optimized geometry)" sg="No. 115" delta_e_f_ev_per_atom=-0.6466 pbc="T T T"
Ce 0.000 2.084 2.396
Ce 2.084 0.000 7.508
Ga 0.000 0.000 4.952
Ni 0.000 2.084 8.724
Ni 2.084 0.000 1.181
Ni 2.084 2.084 4.952
Ge 0.000 0.000 0.000
Ge 0.000 2.084 6.393
Ge 2.084 0.000 3.512
Ge 2.084 2.084 0.000


For each record above, in turn, the calculated E_tot values are -0.1938 -0.1994 -0.2047 -0.2500 -0.1900 -0.1857 -0.1842 -0.1903 -0.1518 -0.1563 -0.1552 -0.1442 -0.2069 -0.2261 -0.2164 -0.2352 -0.1408 -0.1478 -0.1837 -0.2101 hartree per atom.
For each record above, in turn, the calculated V values are 175 436 177 187 102 214 169 228 242 86 85 255 210 115 109 345 284 90 182 172 Å³/cell.